# Ac5CoAu2O PBE with a Hubbard U relaxed
# SG ... Cmc2_1
# Raw total energy ... -5.00 eV/atom
data_Ac5CoAu2O
_chemical_formula_sum 'Ac10 Co2 Au4 O2'
_cell_length_a 9.642
_cell_length_b 9.642
_cell_length_c 13.937
_cell_angle_alpha 90.00
_cell_angle_beta 90.00
_cell_angle_gamma 154.78
_symmetry_space_group_name_H-M 'P 1'
_symmetry_Int_Tables_number 1
loop_
_symmetry_equiv_pos_as_xyz
'x,y,z'
loop_
_atom_site_label
_atom_site_fract_x
_atom_site_fract_y
_atom_site_fract_z
Ac1 0.000 0.000 0.000
Ac2 0.000 0.000 0.500
Ac3 0.145 0.855 0.744
Ac4 0.196 0.804 0.110
Ac5 0.207 0.793 0.395
Ac6 0.449 0.551 0.738
Ac7 0.551 0.449 0.238
Ac8 0.793 0.207 0.895
Ac9 0.804 0.196 0.610
Ac10 0.855 0.145 0.244
Co1 0.292 0.708 0.752
Co2 0.708 0.292 0.252
Au1 0.375 0.625 0.060
Au2 0.380 0.620 0.426
Au3 0.620 0.380 0.926
Au4 0.625 0.375 0.560
O1 0.061 0.939 0.152
O2 0.939 0.061 0.652